No. 1
The following is a PBE calculation of a relaxed NdZnIn crystal, from Alexandria via LeMat-Bulk.

## Properties
- E (eV/atom) = -3.37
- total moment (μB/cell) = 0.00

Lattice parameters (Å, degrees): 4.7568 4.7568 3.7730 90.00 90.00 120.00
Space group P3m1 (No. 156)
Asymmetric unit:
Nd: 0.0000 0.0000 0.0000
Zn: 0.3333 0.6667 0.5010
In: 0.6667 0.3333 0.4995



No. 2
The following is a PBE calculation of a relaxed Nd6Zn2In crystal, from Alexandria via LeMat-Bulk.

## Properties
- E (eV/atom) = -3.98
- total moment (μB/cell) = 0.00

Lattice parameters (Å, degrees): 10.093 10.186 10.502 90.00 90.00 90.00
Space group Immm (No. 71)
Asymmetric unit:
Nd: 0.000 0.220 0.184
Nd: 0.187 0.229 0.500
Nd: 0.208 0.500 0.257
Zn: 0.000 0.000 0.378
Zn: 0.131 0.000 0.000
In: 0.000 0.500 0.000
In: 0.000 0.500 0.500



No. 3
The following is a PBE calculation of a relaxed Nd4ZnIn3 crystal, from Alexandria via LeMat-Bulk.

## Properties
- E (eV/atom) = -3.96
- polymorph energy (0 for the lowest one) (meV per atom) = 64
- total moment (μB/cell) = 0.13

Lattice parameters (Å, degrees): 3.898 4.838 12.337 90.00 90.00 90.00
Space group Pmm2 (No. 25)
Asymmetric unit:
Nd: 0.000 0.000 0.000
Nd: 0.000 0.500 0.297
Nd: 0.500 0.000 0.483
Nd: 0.500 0.500 0.803
Zn: 0.500 0.000 0.220
In: 0.000 0.000 0.722
In: 0.000 0.500 0.570
In: 0.500 0.500 0.077



No. 4
The following is a PBE calculation of a relaxed NdZn3In3 crystal, from Alexandria via LeMat-Bulk.

## Properties
- E (eV/atom) = -2.12
- total moment (μB/cell) = 0.00

Lattice parameters (Å, degrees): 7.342 7.342 7.342 90.00 90.00 90.00
Space group Pm-3n (No. 223)
Asymmetric unit:
Nd: 0.000 0.000 0.000
Zn: 0.000 0.250 0.500
In: 0.000 0.500 0.250



No. 5
The following is a PBE calculation of a relaxed Nd3Zn2In crystal, from Alexandria via LeMat-Bulk.

## Properties
- E (eV/atom) = -3.63
- total moment (μB/cell) = 0.00

Lattice parameters (Å, degrees): 3.688 3.688 11.669 90.00 90.00 90.00
Space group P4/mmm (No. 123)
Asymmetric unit:
Nd: 0.000 0.000 0.000
Nd: 0.000 0.000 0.315
Zn: 0.500 0.500 0.155
In: 0.500 0.500 0.500



No. 6
The following is a PBE calculation of a relaxed NdZnIn crystal, from Alexandria via LeMat-Bulk.

## Properties
- E (eV/atom) = -3.20
- total moment (μB/cell) = 0.00

Lattice parameters (Å, degrees): 3.548 3.548 11.705 90.00 90.00 90.00
Space group I4mm (No. 107)
Asymmetric unit:
Nd: 0.000 0.000 0.000
Zn: 0.000 0.000 0.332
In: 0.000 0.000 0.699



No. 7
The following is a PBE calculation of a relaxed NdZn3In crystal, from Alexandria via LeMat-Bulk.

## Properties
- E (eV/atom) = -2.46
- polymorph energy (0 for the lowest one) (meV per atom) = 0
- total moment (μB/cell) = 0.00

Lattice parameters (Å, degrees): 7.828 6.378 8.637 90.00 100.89 90.00
Space group P2_1/c (No. 14)
Asymmetric unit:
Nd: 0.223 0.017 0.248
Zn: 0.000 0.200 0.495
Zn: 0.169 0.507 0.373
Zn: 0.304 0.536 0.135
In: 0.499 0.717 0.463



No. 8
The following is a PBE calculation of a relaxed Nd2ZnIn8 crystal, from Alexandria via LeMat-Bulk.

## Properties
- E (eV/atom) = -3.28
- total moment (μB/cell) = 0.00

Lattice parameters (Å, degrees): 4.800 4.800 12.370 90.00 90.00 90.00
Space group P4/mmm (No. 123)
Asymmetric unit:
Nd: 0.000 0.000 0.190
Zn: 0.000 0.000 0.500
In: 0.000 0.500 0.000
In: 0.000 0.500 0.374
In: 0.500 0.500 0.190



No. 9
The following is a PBE calculation of a relaxed NdZn2In2 crystal, from Alexandria via LeMat-Bulk.

## Properties
- E (eV/atom) = -2.76
- total moment (μB/cell) = 0.00

Lattice parameters (Å, degrees): 4.322 4.548 23.841 90.00 90.00 90.00
Space group Imma (No. 74)
Asymmetric unit:
Nd: 0.000 0.250 0.079
Zn: 0.000 0.250 0.521
Zn: 0.000 0.250 0.622
In: 0.000 0.250 0.303
In: 0.000 0.250 0.802



No. 10
The following is a PBE calculation of a relaxed Nd12Zn6In crystal, from Alexandria via LeMat-Bulk.

## Properties
- E (eV/atom) = -3.73
- total moment (μB/cell) = 0.00

Lattice parameters (Å, degrees): 10.353 10.353 10.353 90.00 90.00 90.00
Space group Im-3 (No. 204)
Asymmetric unit:
Nd: 0.000 0.287 0.193
Zn: 0.000 0.121 0.500
In: 0.000 0.000 0.000